Entry 1:
{"formula": "BaCe2VO8", "functional": "PBE with a Hubbard U", "state": "optimized geometry", "cell": [[-1.023, 4.470, 2.791], [-2.625, -3.158, 2.504], [3.991, -2.977, 5.046]], "species": ["O", "O", "O", "O", "O", "O", "O", "O", "Ba", "Ce", "Ce", "V"], "fractional_positions": [[0.740, 0.729, 0.916], [0.734, 0.085, 0.117], [0.945, 0.313, 0.759], [0.260, 0.271, 0.084], [0.055, 0.687, 0.241], [0.500, 0.267, 0.492], [0.266, 0.915, 0.883], [0.500, 0.733, 0.508], [0.000, 0.000, 0.500], [0.453, 0.638, 0.200], [0.547, 0.362, 0.800], [0.000, 0.000, 0.000]], "final_energy_ev_per_atom": -7.655, "m_tot_mub_per_atom": 0.02, "n_ef_per_ev_atom": 0.11}

Entry 2:
{"formula": "Ba4CeV3O12", "functional": "PBE with a Hubbard U", "state": "optimized geometry", "cell": [[-5.746, 4.134, -0.951], [-1.213, -4.567, 5.356], [5.638, 4.088, 1.588]], "species": ["Ce", "O", "O", "O", "O", "O", "O", "O", "O", "O", "O", "O", "O", "V", "V", "V", "Ba", "Ba", "Ba", "Ba"], "fractional_positions": [[0.000, 0.000, 0.000], [0.732, 0.000, 0.732], [0.750, 0.250, 0.500], [0.250, 0.750, 0.500], [0.500, 0.750, 0.250], [0.500, 0.250, 0.750], [0.000, 0.732, 0.732], [0.250, 0.500, 0.750], [0.000, 0.268, 0.268], [0.268, 0.268, 0.000], [0.268, 0.000, 0.268], [0.732, 0.732, 0.000], [0.750, 0.500, 0.250], [0.500, 0.000, 0.500], [0.500, 0.500, 0.000], [0.000, 0.500, 0.500], [0.500, 0.500, 0.500], [0.500, 0.000, 0.000], [0.000, 0.500, 0.000], [0.000, 0.000, 0.500]], "final_energy_ev_per_atom": -7.349, "m_tot_mub_per_atom": 0.15}

Entry 3:
{"formula": "BaCe2WO8", "functional": "PBE with a Hubbard U", "state": "optimized geometry", "cell": [[-3.676, -3.573, 0.678], [2.622, -3.479, -2.767], [3.332, -2.285, 6.030]], "species": ["Ce", "Ce", "O", "O", "O", "O", "O", "O", "O", "O", "W", "Ba"], "fractional_positions": [[0.500, 0.500, 0.753], [0.500, 0.500, 0.247], [0.727, 0.734, 0.000], [0.188, 0.805, 0.191], [0.273, 0.266, 0.000], [0.812, 0.195, 0.809], [0.653, 0.673, 0.500], [0.188, 0.805, 0.809], [0.812, 0.195, 0.191], [0.347, 0.327, 0.500], [0.000, 0.000, 0.000], [0.000, 0.000, 0.500]], "final_energy_ev_per_atom": -7.832, "m_tot_mub_per_atom": 0.00}